Material: FeRe2Si
Method: DFT, GGA-PBE
State: optimized geometry

Lattice parameters (Å, degrees): 2.821 2.821 6.499 90.00 90.00 90.00
Sites, in units of the cell vectors:
Fe1 0.000 0.000 0.000
Re1 0.000 0.000 0.552
Re2 0.500 0.500 0.269
Si1 0.500 0.500 0.805

Summary:
Final energy: -39.29 eV/cell
Fermi-level density of states: 0.95 states/eV/atom
Formation energy without anion corrections: -0.1273 eV/atom